The following is a PBE calculation of crystalline AlHgS6 at its relaxed geometry, from Alexandria.

Calculated values
- space-group type = P-1
- energy relative to the elements, uncorrected (eV per formula unit) = 0.3

a = 8.356 Å, b = 4.779 Å, c = 9.986 Å
α = 93.14°, β = 138.33°, γ = 110.01°
Each line ends with the local moment (μB).
Sites, in units of the cell vectors:
S1 0.881 0.268 0.448  0.24
S2 0.275 0.864 0.039  0.01
S3 0.119 0.732 0.552  0.24
S4 0.725 0.136 0.961  0.01
S5 0.177 0.378 0.942  0.02
S6 0.823 0.622 0.058  0.02
Hg1 0.500 0.500 0.500  0.01
Al1 0.000 0.000 0.000  0.01

The following is a PBE calculation of crystalline ZnCrHg2 at its relaxed geometry, from Alexandria.

Calculated values
- space-group type = C2/m
- E above lowest polymorph (meV/atom) = 49

a = 4.919 Å, b = 4.919 Å, c = 5.185 Å
α = 77.99°, β = 77.99°, γ = 40.04°
Each line ends with the local moment (μB).
Sites, in units of the cell vectors:
Hg1 0.999 0.999 0.000  0.00
Hg2 0.501 0.501 0.500  0.00
Zn1 0.750 0.750 0.750  -0.04
Cr1 0.250 0.250 0.250  3.69

The following is a PBE calculation of crystalline Li4Cu3Rh at its relaxed geometry, from Alexandria.

Calculated values
- space-group type = C2/m
- E above lowest polymorph (meV/atom) = 25

a = 2.760 Å, b = 4.463 Å, c = 8.925 Å
α = 92.08°, β = 98.90°, γ = 90.00°
Sites, in units of the cell vectors:
Cu1 0.879 0.119 0.758
Cu2 0.000 0.500 0.000
Cu3 0.121 0.881 0.242
Li1 0.255 0.238 0.510
Li2 0.745 0.762 0.490
Li3 0.617 0.381 0.233
Li4 0.383 0.619 0.767
Rh1 0.500 0.000 0.000

The following is a PBE calculation of crystalline Tc2SnH at its relaxed geometry, from Alexandria.

Calculated values
- space-group type = I-42d
- E above lowest polymorph (meV/atom) = 286

a = 4.882 Å, b = 4.882 Å, c = 6.124 Å
α = 66.51°, β = 66.51°, γ = 90.00°
Sites, in units of the cell vectors:
Tc1 0.348 0.625 0.250
Tc2 0.875 0.652 0.750
Tc3 0.402 0.125 0.250
Tc4 0.375 0.598 0.750
H1 0.250 0.750 0.500
H2 0.500 0.500 0.000
Sn1 0.750 0.250 0.500
Sn2 0.000 0.000 0.000

The following is a PBE calculation of crystalline PrSb2Pd9 at its relaxed geometry, from Alexandria.

Calculated values
- space-group type = P4/mmm
- energy relative to the elements, uncorrected (eV per formula unit) = -5.9

a = 4.136 Å, b = 4.136 Å, c = 12.182 Å
α = 90.00°, β = 90.00°, γ = 90.00°
Sites, in units of the cell vectors:
Pd1 0.000 0.500 0.500
Pd2 0.500 0.500 0.000
Pd3 0.000 0.500 0.821
Pd4 0.500 0.000 0.500
Pd5 0.500 0.000 0.821
Pd6 0.000 0.500 0.179
Pd7 0.500 0.500 0.659
Pd8 0.500 0.000 0.179
Pd9 0.500 0.500 0.341
Sb1 0.000 0.000 0.663
Sb2 0.000 0.000 0.337
Pr1 0.000 0.000 0.000

The following is a PBE calculation of crystalline Te3I at its relaxed geometry, from Alexandria.

Calculated values
- space-group type = P-1
- energy relative to the elements, uncorrected (eV per formula unit) = 0.0

a = 7.098 Å, b = 8.669 Å, c = 7.433 Å
α = 50.99°, β = 84.89°, γ = 90.43°
Sites, in units of the cell vectors:
I1 0.288 0.353 0.170
I2 0.712 0.647 0.830
Te1 0.041 0.758 0.483
Te2 0.685 0.089 0.964
Te3 0.959 0.242 0.517
Te4 0.159 0.300 0.780
Te5 0.841 0.700 0.220
Te6 0.315 0.911 0.036

The following is a PBE calculation of crystalline PmTeO5 at its relaxed geometry, from Alexandria.

Calculated values
- space-group type = Immm
- energy relative to the elements, uncorrected (eV per formula unit) = -11.6
- E above lowest polymorph (meV/atom) = 55

a = 3.956 Å, b = 5.674 Å, c = 5.674 Å
α = 71.11°, β = 69.60°, γ = 69.60°
Each line ends with the local moment (μB).
Sites, in units of the cell vectors:
O1 0.774 0.226 0.226  0.24
O2 0.500 0.000 0.000  0.14
O3 0.000 0.292 0.708  0.13
O4 0.226 0.774 0.774  0.24
O5 0.000 0.708 0.292  0.13
Te1 0.000 0.000 0.000  -0.03
Pm1 0.500 0.500 0.500  -0.02

The following is a PBE calculation of crystalline CaMn2CS at its relaxed geometry, from Alexandria.

Calculated values
- space-group type = P4/mmm
- energy relative to the elements, uncorrected (eV per formula unit) = 4.5

a = 4.263 Å, b = 4.773 Å, c = 4.263 Å
α = 90.00°, β = 90.00°, γ = 90.00°
Each line ends with the local moment (μB).
Sites, in units of the cell vectors:
C1 0.000 0.500 0.000  -0.01
S1 0.000 0.000 0.000  -0.10
Mn1 0.500 0.000 0.000  3.05
Mn2 0.000 0.000 0.500  2.87
Ca1 0.500 0.500 0.500  -0.04

The following is a PBE calculation of crystalline MgCdHg2 at its relaxed geometry, from Alexandria.

Calculated values
- space-group type = Immm
- total DFT energy (no corrections) (eV for the cell shown) = -3.0

a = 6.797 Å, b = 6.797 Å, c = 6.797 Å
α = 153.11°, β = 55.30°, γ = 132.64°
Sites, in units of the cell vectors:
Hg1 0.244 0.000 0.244
Hg2 0.756 0.000 0.756
Mg1 0.000 0.000 0.000
Cd1 0.500 0.000 0.500

The following is a PBE calculation of crystalline IrPt5Rh at its relaxed geometry, from Alexandria.

Calculated values
- space-group type = P4/mmm
- total DFT energy (no corrections) (eV for the cell shown) = -45.2

a = 3.881 Å, b = 3.881 Å, c = 7.634 Å
α = 90.00°, β = 90.00°, γ = 90.00°
Sites, in units of the cell vectors:
Pt1 0.500 0.000 0.267
Pt2 0.500 0.000 0.733
Pt3 0.000 0.500 0.267
Pt4 0.500 0.500 0.000
Pt5 0.000 0.500 0.733
Ir1 0.000 0.000 0.500
Rh1 0.000 0.000 0.000

The following is a PBE calculation of crystalline Pr2NiI at its relaxed geometry, from Alexandria.

Calculated values
- space-group type = R3m
- energy relative to the elements, uncorrected (eV per formula unit) = -2.6
- E above lowest polymorph (meV/atom) = 3

a = 4.168 Å, b = 4.168 Å, c = 8.485 Å
α = 75.78°, β = 75.78°, γ = 60.00°
Sites, in units of the cell vectors:
Pr1 0.273 0.273 0.182
Pr2 0.061 0.061 0.816
Ni1 0.667 0.667 0.000
I1 0.499 0.499 0.502

The following is a PBE calculation of crystalline Ca2Ga3AgPd4 at its relaxed geometry, from Alexandria.

Calculated values
- space-group type = P-4m2
- total DFT energy (no corrections) (eV for the cell shown) = -43.2

a = 4.199 Å, b = 4.199 Å, c = 11.095 Å
α = 90.00°, β = 90.00°, γ = 90.00°
Sites, in units of the cell vectors:
Ga1 0.000 0.000 0.500
Ga2 0.000 0.500 0.127
Ga3 0.500 0.000 0.873
Pd1 0.000 0.500 0.348
Pd2 0.500 0.000 0.652
Pd3 0.500 0.500 0.000
Pd4 0.000 0.000 0.000
Ag1 0.500 0.500 0.500
Ca1 0.500 0.000 0.254
Ca2 0.000 0.500 0.746

The following is a PBE calculation of crystalline Re2PIrC at its relaxed geometry, from Alexandria.

Calculated values
- space-group type = P4/mmm
- total DFT energy (no corrections) (eV for the cell shown) = -40.5

a = 4.615 Å, b = 3.323 Å, c = 4.615 Å
α = 90.00°, β = 90.00°, γ = 90.00°
Sites, in units of the cell vectors:
Re1 0.500 0.000 0.000
Re2 0.000 0.000 0.500
P1 0.000 0.000 0.000
Ir1 0.500 0.500 0.500
C1 0.000 0.500 0.000

The following is a PBE calculation of crystalline Ce2Be4GaPt3 at its relaxed geometry, from Alexandria.

Calculated values
- space-group type = P-4m2
- total DFT energy (no corrections) (eV for the cell shown) = -54.8

a = 4.017 Å, b = 4.017 Å, c = 9.842 Å
α = 90.00°, β = 90.00°, γ = 90.00°
Each line ends with the local moment (μB).
Sites, in units of the cell vectors:
Be1 0.500 0.000 0.634  0.00
Be2 0.500 0.500 0.000  0.01
Be3 0.000 0.500 0.366  0.00
Be4 0.000 0.000 0.000  0.01
Ga1 0.500 0.500 0.500  0.00
Ce1 0.000 0.500 0.753  0.28
Ce2 0.500 0.000 0.247  0.28
Pt1 0.500 0.000 0.877  0.01
Pt2 0.000 0.000 0.500  0.01
Pt3 0.000 0.500 0.123  0.01

The following is a PBE calculation of crystalline Sc2PCl at its relaxed geometry, from Alexandria.

Calculated values
- space-group type = Cmmm
- energy relative to the elements, uncorrected (eV per formula unit) = -4.3

a = 3.323 Å, b = 3.323 Å, c = 7.335 Å
α = 90.00°, β = 90.00°, γ = 107.43°
Sites, in units of the cell vectors:
P1 0.500 0.500 0.750
Sc1 0.000 0.000 0.532
Sc2 0.000 0.000 0.968
Cl1 0.500 0.500 0.250

| no. | total magnetic moment (Bohr magnetons per cell) |
| --- | --- |
| 1 | 0.93 |
| 2 | 4.05 |
| 3 | 0.00 |
| 4 | 0.00 |
| 5 | 0.00 |
| 6 | 0.00 |
| 7 | 1.03 |
| 8 | 5.90 |
| 9 | 0.00 |
| 10 | 0.00 |
| 11 | 0.00 |
| 12 | 0.00 |
| 13 | 0.00 |
| 14 | 0.79 |
| 15 | 0.00 |